## KCdWF6 (PBE with a Hubbard U)

Data for a relaxed KCdWF6 crystal.

Computed properties:
**Uncorrected energy**: -85.6 eV for the cell shown
**Total moment**: 6.00 μB per cell
**Symmetry**: P-31c

Structure (CIF):
```
data_KCdWF6
_cell_length_a 6.0553
_cell_length_b 6.0553
_cell_length_c 9.2045
_cell_angle_alpha 90.00
_cell_angle_beta 90.00
_cell_angle_gamma 120.00
_space_group_name_H-M_alt 'P 1'
_space_group_IT_number 1
_space_group_name_Hall 'P 1'
loop_
_atom_site_label
_atom_site_fract_x
_atom_site_fract_y
_atom_site_fract_z
F1 0.9405 0.6418 0.3786
F2 0.2987 0.9405 0.6214
F3 0.0595 0.3582 0.6214
F4 0.0595 0.7013 0.8786
F5 0.7013 0.0595 0.3786
F6 0.6418 0.7013 0.6214
F7 0.3582 0.2987 0.3786
F8 0.9405 0.2987 0.1214
F9 0.2987 0.3582 0.8786
F10 0.3582 0.0595 0.1214
F11 0.6418 0.9405 0.8786
F12 0.7013 0.6418 0.1214
Cd1 0.0000 0.0000 0.5000
Cd2 0.0000 0.0000 0.0000
K1 0.6667 0.3333 0.7500
K2 0.3333 0.6667 0.2500
W1 0.6667 0.3333 0.2500
W2 0.3333 0.6667 0.7500
```